## VCI2 (PBE)

Data for crystalline VCI2 at its relaxed geometry.

Values from the calculation:
- Crystal system: tetragonal

a = 7.101 Å, b = 7.101 Å, c = 8.987 Å
α = 90.00°, β = 90.00°, γ = 90.00°
Space group I-42d (No. 122)
Unique sites:
V  0.000  0.000  0.000 (multiplicity 4)
C  0.000  0.000  0.500 (multiplicity 4)
I  0.244  0.250  0.125 (multiplicity 8)

## SrBi2Br2O3 (PBE)

Data for crystalline SrBi2Br2O3 at its relaxed geometry.

Values from the calculation:
- Crystal system: tetragonal

a = 4.076 Å, b = 4.076 Å, c = 22.054 Å
α = 90.00°, β = 90.00°, γ = 90.00°
Space group P4/nmm (No. 129, origin choice 2)
Unique sites:
Sr  0.250  0.250  0.053 (multiplicity 2)
Bi  0.250  0.250  0.254 (multiplicity 2)
Bi  0.250  0.250  0.638 (multiplicity 2)
Br  0.250  0.250  0.430 (multiplicity 2)
Br  0.250  0.250  0.827 (multiplicity 2)
O  0.250  0.750  0.000 (multiplicity 2)
O  0.250  0.750  0.306 (multiplicity 4)

## Ba2Ga2As2O (PBE)

Data for crystalline Ba2Ga2As2O at its relaxed geometry.

Values from the calculation:
- Crystal system: triclinic

a = 4.652 Å, b = 6.569 Å, c = 6.745 Å
α = 67.74°, β = 69.99°, γ = 69.49°
Space group P-1 (No. 2)
Unique sites:
Ba  0.049  0.197  0.205 (multiplicity 2)
Ga  0.307  0.294  0.593 (multiplicity 2)
As  0.305  0.652  0.235 (multiplicity 2)
O  0.500  0.000  0.500 (multiplicity 1)

E_tot (computed, hartree per atom): -0.139; -0.179; -0.165